# 1
A plane-wave DFT calculation with GGA-PBE was carried out for MnSn6Au2 after structural relaxation.

```
9
Lattice="-2.328 3.317 7.222 2.328 -3.317 7.222 2.328 3.317 -7.222" Properties=species:S:1:pos:R:3 pbc="T T T"
Mn 0.000 0.000 0.000
Sn 2.328 -1.721 4.900
Sn 2.328 1.614 0.000
Sn 0.000 1.596 2.322
Sn 2.328 1.721 4.900
Sn 0.000 1.702 7.222
Sn 0.000 5.037 2.322
Au 0.000 0.000 4.791
Au 0.000 0.000 9.653
```

- size of the total moment (Bohr magnetons per cell) = 2.74
- E_form (kcal/mol of atoms) = -1.1
- energy (eV per atom) = -4.47

# 2
A plane-wave DFT calculation with GGA-PBE was carried out for MnSnAu3 after structural relaxation.

```
5
Lattice="5.095 0.000 0.000 0.000 5.095 0.000 0.000 0.000 5.095" Properties=species:S:1:pos:R:3 pbc="T T T"
Mn 0.000 0.000 0.000
Sn 2.547 2.547 2.547
Au 0.000 0.000 2.547
Au 0.000 2.547 0.000
Au 2.547 0.000 0.000
```

- ΔE to the lowest computed polymorph (eV per atom) = 0.170
- size of the total moment (Bohr magnetons per cell) = 0.03
- E_form (kcal/mol of atoms) = 20.5
- energy (eV per atom) = -3.71

# 3
A plane-wave DFT calculation with GGA-PBE was carried out for MnSnAu4 after structural relaxation.

```
6
Lattice="3.530 0.000 0.000 0.000 3.530 0.000 0.000 0.000 9.062" Properties=species:S:1:pos:R:3 pbc="T T T"
Mn 0.000 0.000 0.000
Sn 1.765 1.765 4.531
Au 0.000 0.000 2.878
Au 0.000 0.000 6.184
Au 1.765 1.765 1.383
Au 1.765 1.765 7.679
```

- size of the total moment (Bohr magnetons per cell) = 4.31
- E_form (kcal/mol of atoms) = -1.7
- energy (eV per atom) = -4.45